[1]
# TbTm3Sn2C2 (PBE-GGA, optimized geometry)
data_TbTm3Sn2C2
_space_group_name_H-M_alt 'P 3 m 1'
_space_group_IT_number 156
_space_group_name_Hall 'P 3 -2"'
_cell_length_a 3.5832
_cell_length_b 3.5832
_cell_length_c 15.7062
_cell_angle_alpha 90.00
_cell_angle_beta 90.00
_cell_angle_gamma 120.00
loop_
_atom_site_label
_atom_site_type_symbol
_atom_site_fract_x
_atom_site_fract_y
_atom_site_fract_z
Tb1 Tb 0.0000 0.0000 0.0000
Tm1 Tm 0.0000 0.0000 0.3331
Tm2 Tm 0.3333 0.6667 0.4994
Tm3 Tm 0.3333 0.6667 0.8302
Sn1 Sn 0.0000 0.0000 0.6648
Sn2 Sn 0.3333 0.6667 0.1688
C1 C 0.6667 0.3333 0.4164
C2 C 0.6667 0.3333 0.9130
# Crystal system: trigonal

[2]
# Tb3TmSn2C2 (PBE-GGA, optimized geometry)
data_Tb3TmSn2C2
_space_group_name_H-M_alt 'P 3 m 1'
_space_group_IT_number 156
_space_group_name_Hall 'P 3 -2"'
_cell_length_a 3.6196
_cell_length_b 3.6196
_cell_length_c 15.9056
_cell_angle_alpha 90.00
_cell_angle_beta 90.00
_cell_angle_gamma 120.00
loop_
_atom_site_label
_atom_site_type_symbol
_atom_site_fract_x
_atom_site_fract_y
_atom_site_fract_z
Tb1 Tb 0.0000 0.0000 0.0000
Tb2 Tb 0.0000 0.0000 0.3322
Tb3 Tb 0.3333 0.6667 0.5029
Tm1 Tm 0.3333 0.6667 0.8328
Sn1 Sn 0.0000 0.0000 0.6700
Sn2 Sn 0.3333 0.6667 0.1661
C1 C 0.6667 0.3333 0.4177
C2 C 0.6667 0.3333 0.9146
# Crystal system: trigonal

[3]
# TbYSnC (PBE-GGA, optimized geometry)
data_TbYSnC
_space_group_name_H-M_alt 'P -6 m 2'
_space_group_IT_number 187
_space_group_name_Hall 'P -6 2'
_cell_length_a 3.6365
_cell_length_b 3.6365
_cell_length_c 15.9237
_cell_angle_alpha 90.00
_cell_angle_beta 90.00
_cell_angle_gamma 120.00
loop_
_atom_site_label
_atom_site_type_symbol
_atom_site_fract_x
_atom_site_fract_y
_atom_site_fract_z
Tb1 Tb 0.0000 0.0000 0.1656
Y1 Y 0.3333 0.6667 0.3351
Sn1 Sn 0.0000 0.0000 0.5000
Sn2 Sn 0.3333 0.6667 0.0000
C1 C 0.6667 0.3333 0.2502
# Crystal system: hexagonal

[4]
# TbYSnC (PBE-GGA, optimized geometry)
data_TbYSnC
_space_group_name_H-M_alt 'P -3 m 1'
_space_group_IT_number 164
_space_group_name_Hall '-P 3 2"'
_cell_length_a 3.6357
_cell_length_b 3.6357
_cell_length_c 15.9304
_cell_angle_alpha 90.00
_cell_angle_beta 90.00
_cell_angle_gamma 120.00
loop_
_atom_site_label
_atom_site_type_symbol
_atom_site_fract_x
_atom_site_fract_y
_atom_site_fract_z
Tb1 Tb 0.3333 0.6667 0.0850
Y1 Y 0.3333 0.6667 0.4155
Sn1 Sn 0.3333 0.6667 0.7494
C1 C 0.0000 0.0000 0.0000
C2 C 0.0000 0.0000 0.5000
# Crystal system: trigonal

[5]
# Tm4SnTeC2 (PBE-GGA, optimized geometry)
data_Tm4SnTeC2
_space_group_name_H-M_alt 'P -6 m 2'
_space_group_IT_number 187
_space_group_name_Hall 'P -6 2'
_cell_length_a 3.6536
_cell_length_b 3.6536
_cell_length_c 14.7784
_cell_angle_alpha 90.00
_cell_angle_beta 90.00
_cell_angle_gamma 120.00
loop_
_atom_site_label
_atom_site_type_symbol
_atom_site_fract_x
_atom_site_fract_y
_atom_site_fract_z
Tm1 Tm 0.0000 0.0000 0.1537
Tm2 Tm 0.6667 0.3333 0.3288
Sn1 Sn 0.0000 0.0000 0.5000
Te1 Te 0.6667 0.3333 0.0000
C1 C 0.3333 0.6667 0.2398
# Crystal system: hexagonal

[6]
# Zr4SnTeC2 (PBE-GGA, optimized geometry)
data_Zr4SnTeC2
_space_group_name_H-M_alt 'P -6 m 2'
_space_group_IT_number 187
_space_group_name_Hall 'P -6 2'
_cell_length_a 3.4702
_cell_length_b 3.4702
_cell_length_c 14.0455
_cell_angle_alpha 90.00
_cell_angle_beta 90.00
_cell_angle_gamma 120.00
loop_
_atom_site_label
_atom_site_type_symbol
_atom_site_fract_x
_atom_site_fract_y
_atom_site_fract_z
Zr1 Zr 0.0000 0.0000 0.1556
Zr2 Zr 0.3333 0.6667 0.3291
Sn1 Sn 0.0000 0.0000 0.5000
Te1 Te 0.3333 0.6667 0.0000
C1 C 0.6667 0.3333 0.2436
# Crystal system: hexagonal

[7]
# TlSnW4C2 (PBE-GGA, optimized geometry)
data_TlSnW4C2
_space_group_name_H-M_alt 'P -6 m 2'
_space_group_IT_number 187
_space_group_name_Hall 'P -6 2'
_cell_length_a 3.1882
_cell_length_b 3.1882
_cell_length_c 13.8033
_cell_angle_alpha 90.00
_cell_angle_beta 90.00
_cell_angle_gamma 120.00
loop_
_atom_site_label
_atom_site_type_symbol
_atom_site_fract_x
_atom_site_fract_y
_atom_site_fract_z
Tl1 Tl 0.0000 0.0000 0.0000
Sn1 Sn 0.6667 0.3333 0.5000
W1 W 0.0000 0.0000 0.3335
W2 W 0.6667 0.3333 0.1743
C1 C 0.3333 0.6667 0.2533
# Crystal system: hexagonal

[8]
# Zr4TlSnC2 (PBE-GGA, optimized geometry)
data_Zr4TlSnC2
_space_group_name_H-M_alt 'P -6 m 2'
_space_group_IT_number 187
_space_group_name_Hall 'P -6 2'
_cell_length_a 3.3918
_cell_length_b 3.3918
_cell_length_c 14.8724
_cell_angle_alpha 90.00
_cell_angle_beta 90.00
_cell_angle_gamma 120.00
loop_
_atom_site_label
_atom_site_type_symbol
_atom_site_fract_x
_atom_site_fract_y
_atom_site_fract_z
Zr1 Zr 0.0000 0.0000 0.1638
Zr2 Zr 0.3333 0.6667 0.3303
Tl1 Tl 0.0000 0.0000 0.5000
Sn1 Sn 0.3333 0.6667 0.0000
C1 C 0.6667 0.3333 0.2483
# Crystal system: hexagonal

[9]
# Tm3SnC (PBE-GGA, optimized geometry)
data_Tm3SnC
_space_group_name_H-M_alt 'P m -3 m'
_space_group_IT_number 221
_space_group_name_Hall '-P 4 2 3'
_cell_length_a 4.802
_cell_length_b 4.802
_cell_length_c 4.802
_cell_angle_alpha 90.00
_cell_angle_beta 90.00
_cell_angle_gamma 90.00
loop_
_atom_site_label
_atom_site_type_symbol
_atom_site_fract_x
_atom_site_fract_y
_atom_site_fract_z
Tm1 Tm 0.000 0.000 0.500
Sn1 Sn 0.500 0.500 0.500
C1 C 0.000 0.000 0.000
# Crystal system: cubic

[10]
# YTmSnC (PBE-GGA, optimized geometry)
data_YTmSnC
_space_group_name_H-M_alt 'P -6 m 2'
_space_group_IT_number 187
_space_group_name_Hall 'P -6 2'
_cell_length_a 3.5994
_cell_length_b 3.5994
_cell_length_c 15.7250
_cell_angle_alpha 90.00
_cell_angle_beta 90.00
_cell_angle_gamma 120.00
loop_
_atom_site_label
_atom_site_type_symbol
_atom_site_fract_x
_atom_site_fract_y
_atom_site_fract_z
Y1 Y 0.0000 0.0000 0.1657
Tm1 Tm 0.3333 0.6667 0.3344
Sn1 Sn 0.0000 0.0000 0.5000
Sn2 Sn 0.3333 0.6667 0.0000
C1 C 0.6667 0.3333 0.2522
# Crystal system: hexagonal

[11]
# Y3TmSn2C2 (PBE-GGA, optimized geometry)
data_Y3TmSn2C2
_space_group_name_H-M_alt 'P 3 m 1'
_space_group_IT_number 156
_space_group_name_Hall 'P 3 -2"'
_cell_length_a 3.6153
_cell_length_b 3.6153
_cell_length_c 15.7909
_cell_angle_alpha 90.00
_cell_angle_beta 90.00
_cell_angle_gamma 120.00
loop_
_atom_site_label
_atom_site_type_symbol
_atom_site_fract_x
_atom_site_fract_y
_atom_site_fract_z
Y1 Y 0.0000 0.0000 0.0000
Y2 Y 0.0000 0.0000 0.3312
Y3 Y 0.3333 0.6667 0.5018
Tm1 Tm 0.3333 0.6667 0.8323
Sn1 Sn 0.0000 0.0000 0.6684
Sn2 Sn 0.3333 0.6667 0.1655
C1 C 0.6667 0.3333 0.4164
C2 C 0.6667 0.3333 0.9140
# Crystal system: trigonal

[12]
# YTmSnC (PBE-GGA, optimized geometry)
data_YTmSnC
_space_group_name_H-M_alt 'P -3 m 1'
_space_group_IT_number 164
_space_group_name_Hall '-P 3 2"'
_cell_length_a 3.6024
_cell_length_b 3.6024
_cell_length_c 15.7058
_cell_angle_alpha 90.00
_cell_angle_beta 90.00
_cell_angle_gamma 120.00
loop_
_atom_site_label
_atom_site_type_symbol
_atom_site_fract_x
_atom_site_fract_y
_atom_site_fract_z
Y1 Y 0.3333 0.6667 0.0859
Tm1 Tm 0.3333 0.6667 0.4170
Sn1 Sn 0.3333 0.6667 0.7470
C1 C 0.0000 0.0000 0.0000
C2 C 0.0000 0.0000 0.5000
# Crystal system: trigonal

[13]
# TmZrSnC (PBE-GGA, optimized geometry)
data_TmZrSnC
_space_group_name_H-M_alt 'P -6 m 2'
_space_group_IT_number 187
_space_group_name_Hall 'P -6 2'
_cell_length_a 3.4539
_cell_length_b 3.4539
_cell_length_c 15.1625
_cell_angle_alpha 90.00
_cell_angle_beta 90.00
_cell_angle_gamma 120.00
loop_
_atom_site_label
_atom_site_type_symbol
_atom_site_fract_x
_atom_site_fract_y
_atom_site_fract_z
Tm1 Tm 0.0000 0.0000 0.1705
Zr1 Zr 0.6667 0.3333 0.3399
Sn1 Sn 0.0000 0.0000 0.5000
Sn2 Sn 0.6667 0.3333 0.0000
C1 C 0.3333 0.6667 0.2618
# ΔE to the lowest computed polymorph, eV/f.u.: 0.03
# Crystal system: hexagonal

[14]
# TmZrSnC (PBE-GGA, optimized geometry)
data_TmZrSnC
_space_group_name_H-M_alt 'P -3 m 1'
_space_group_IT_number 164
_space_group_name_Hall '-P 3 2"'
_cell_length_a 3.4676
_cell_length_b 3.4676
_cell_length_c 15.1181
_cell_angle_alpha 90.00
_cell_angle_beta 90.00
_cell_angle_gamma 120.00
loop_
_atom_site_label
_atom_site_type_symbol
_atom_site_fract_x
_atom_site_fract_y
_atom_site_fract_z
Tm1 Tm 0.3333 0.6667 0.4129
Zr1 Zr 0.3333 0.6667 0.0813
Sn1 Sn 0.3333 0.6667 0.7593
C1 C 0.0000 0.0000 0.0000
C2 C 0.0000 0.0000 0.5000
# ΔE to the lowest computed polymorph, eV/f.u.: 0.11
# Crystal system: trigonal

[15]
# Tm3ZrSn2C2 (PBE-GGA, optimized geometry)
data_Tm3ZrSn2C2
_space_group_name_H-M_alt 'P 3 m 1'
_space_group_IT_number 156
_space_group_name_Hall 'P 3 -2"'
_cell_length_a 3.5067
_cell_length_b 3.5067
_cell_length_c 15.3847
_cell_angle_alpha 90.00
_cell_angle_beta 90.00
_cell_angle_gamma 120.00
loop_
_atom_site_label
_atom_site_type_symbol
_atom_site_fract_x
_atom_site_fract_y
_atom_site_fract_z
Tm1 Tm 0.0000 0.0000 0.0000
Tm2 Tm 0.0000 0.0000 0.3358
Tm3 Tm 0.6667 0.3333 0.8287
Zr1 Zr 0.6667 0.3333 0.5017
Sn1 Sn 0.0000 0.0000 0.6587
Sn2 Sn 0.6667 0.3333 0.1692
C1 C 0.3333 0.6667 0.4254
C2 C 0.3333 0.6667 0.9139
# Crystal system: trigonal

[16]
# TmZrSnC (PBE-GGA, optimized geometry)
data_TmZrSnC
_space_group_name_H-M_alt 'P 63 m c'
_space_group_IT_number 186
_space_group_name_Hall 'P 6c -2c'
_cell_length_a 3.4547
_cell_length_b 3.4547
_cell_length_c 15.1602
_cell_angle_alpha 90.00
_cell_angle_beta 90.00
_cell_angle_gamma 120.00
loop_
_atom_site_label
_atom_site_type_symbol
_atom_site_fract_x
_atom_site_fract_y
_atom_site_fract_z
Tm1 Tm 0.3333 0.6667 0.0000
Zr1 Zr 0.3333 0.6667 0.6696
Sn1 Sn 0.3333 0.6667 0.3294
C1 C 0.0000 0.0000 0.0912
# ΔE to the lowest computed polymorph, eV/f.u.: 0.00
# Crystal system: hexagonal

[17]
# SnW2C2 (PBE-GGA, optimized geometry)
data_SnW2C2
_space_group_name_H-M_alt 'I 4/m m m'
_space_group_IT_number 139
_space_group_name_Hall '-I 4 2'
_cell_length_a 3.819
_cell_length_b 3.819
_cell_length_c 18.463
_cell_angle_alpha 90.00
_cell_angle_beta 90.00
_cell_angle_gamma 90.00
loop_
_atom_site_label
_atom_site_type_symbol
_atom_site_fract_x
_atom_site_fract_y
_atom_site_fract_z
Sn1 Sn 0.000 0.000 0.124
W1 W 0.000 0.000 0.306
W2 W 0.000 0.500 0.000
C1 C 0.000 0.000 0.427
C2 C 0.000 0.500 0.250
# Crystal system: tetragonal

[18]
# Y4Sn3W2C3 (PBE-GGA, optimized geometry)
data_Y4Sn3W2C3
_space_group_name_H-M_alt 'C 1 2/c 1'
_space_group_IT_number 15
_space_group_name_Hall '-C 2yc'
_cell_length_a 10.330
_cell_length_b 6.049
_cell_length_c 14.963
_cell_angle_alpha 90.00
_cell_angle_beta 103.38
_cell_angle_gamma 90.00
loop_
_atom_site_label
_atom_site_type_symbol
_atom_site_fract_x
_atom_site_fract_y
_atom_site_fract_z
Y1 Y 0.115 0.073 0.094
Y2 Y 0.213 0.089 0.406
Sn1 Sn 0.000 0.141 0.750
Sn2 Sn 0.144 0.438 0.247
W1 W 0.068 0.409 0.930
C1 C 0.073 0.280 0.500
C2 C 0.250 0.250 0.000
# Crystal system: monoclinic

[19]
# ZnSnW4C2 (PBE-GGA, optimized geometry)
data_ZnSnW4C2
_space_group_name_H-M_alt 'P -6 m 2'
_space_group_IT_number 187
_space_group_name_Hall 'P -6 2'
_cell_length_a 3.1243
_cell_length_b 3.1243
_cell_length_c 13.4696
_cell_angle_alpha 90.00
_cell_angle_beta 90.00
_cell_angle_gamma 120.00
loop_
_atom_site_label
_atom_site_type_symbol
_atom_site_fract_x
_atom_site_fract_y
_atom_site_fract_z
Zn1 Zn 0.0000 0.0000 0.0000
Sn1 Sn 0.6667 0.3333 0.5000
W1 W 0.0000 0.0000 0.3274
W2 W 0.6667 0.3333 0.1580
C1 C 0.3333 0.6667 0.2428
# Crystal system: hexagonal

[20]
# Zr4Sn3W2C3 (PBE-GGA, optimized geometry)
data_Zr4Sn3W2C3
_space_group_name_H-M_alt 'C 1 2/c 1'
_space_group_IT_number 15
_space_group_name_Hall '-C 2yc'
_cell_length_a 9.942
_cell_length_b 5.765
_cell_length_c 14.531
_cell_angle_alpha 90.00
_cell_angle_beta 103.23
_cell_angle_gamma 90.00
loop_
_atom_site_label
_atom_site_type_symbol
_atom_site_fract_x
_atom_site_fract_y
_atom_site_fract_z
Zr1 Zr 0.113 0.078 0.090
Zr2 Zr 0.217 0.086 0.411
Sn1 Sn 0.000 0.112 0.750
Sn2 Sn 0.155 0.428 0.249
W1 W 0.063 0.412 0.925
C1 C 0.080 0.261 0.500
C2 C 0.250 0.250 0.000
# Crystal system: monoclinic

[21]
# Y4ZnSnC2 (PBE-GGA, optimized geometry)
data_Y4ZnSnC2
_space_group_name_H-M_alt 'P -6 m 2'
_space_group_IT_number 187
_space_group_name_Hall 'P -6 2'
_cell_length_a 3.6325
_cell_length_b 3.6325
_cell_length_c 15.3257
_cell_angle_alpha 90.00
_cell_angle_beta 90.00
_cell_angle_gamma 120.00
loop_
_atom_site_label
_atom_site_type_symbol
_atom_site_fract_x
_atom_site_fract_y
_atom_site_fract_z
Y1 Y 0.0000 0.0000 0.1544
Y2 Y 0.3333 0.6667 0.3302
Zn1 Zn 0.3333 0.6667 0.0000
Sn1 Sn 0.0000 0.0000 0.5000
C1 C 0.6667 0.3333 0.2423
# Crystal system: hexagonal

[22]
# Zr4ZnSnC2 (PBE-GGA, optimized geometry)
data_Zr4ZnSnC2
_space_group_name_H-M_alt 'P -6 m 2'
_space_group_IT_number 187
_space_group_name_Hall 'P -6 2'
_cell_length_a 3.3571
_cell_length_b 3.3571
_cell_length_c 14.5532
_cell_angle_alpha 90.00
_cell_angle_beta 90.00
_cell_angle_gamma 120.00
loop_
_atom_site_label
_atom_site_type_symbol
_atom_site_fract_x
_atom_site_fract_y
_atom_site_fract_z
Zr1 Zr 0.0000 0.0000 0.1591
Zr2 Zr 0.6667 0.3333 0.3322
Zn1 Zn 0.6667 0.3333 0.0000
Sn1 Sn 0.0000 0.0000 0.5000
C1 C 0.3333 0.6667 0.2456
# Crystal system: hexagonal

[23]
# Sr3TcC (PBE-GGA, optimized geometry)
data_Sr3TcC
_space_group_name_H-M_alt 'P m -3 m'
_space_group_IT_number 221
_space_group_name_Hall '-P 4 2 3'
_cell_length_a 5.361
_cell_length_b 5.361
_cell_length_c 5.361
_cell_angle_alpha 90.00
_cell_angle_beta 90.00
_cell_angle_gamma 90.00
loop_
_atom_site_label
_atom_site_type_symbol
_atom_site_fract_x
_atom_site_fract_y
_atom_site_fract_z
Sr1 Sr 0.000 0.000 0.500
Tc1 Tc 0.500 0.500 0.500
C1 C 0.000 0.000 0.000
# Crystal system: cubic

Record order is preserved below.
Total DFT energy (no corrections): -49.081; -49.063; -52.905; -52.907; -49.281; -66.379; -73.780; -64.663; -29.956; -52.900; -54.815; -52.905; -58.062; -57.900; -53.561; -58.120; -172.719; -384.806; -73.602; -421.188; -52.700; -63.085; -19.748 eV/cell